VASP calculation (PBE) on MoIrAu2 after structural relaxation.

abc: 3.913 3.913 4.302
angles: 90.00 90.00 90.00
Space group P4/mmm (No. 123)
Unique sites:
Mo  0.000  0.000  0.000 [1 per cell]
Ir  0.500  0.500  0.000 [1 per cell]
Au  0.000  0.500  0.500 [2 per cell]

Formation energy = 0.4283 eV/atom
V = 16.46 Å³/atom
Magnetic moment = 0.0 μB per formula unit
Raw total energy = -24.53 eV for the cell shown
E above lowest polymorph = 417 meV per atom